The following is a PBE calculation of a relaxed HoPuAlSn crystal, from Alexandria via LeMat-Bulk.

a = 5.206 Å, b = 5.206 Å, c = 5.206 Å
α = 60.00°, β = 60.00°, γ = 60.00°
Atoms (fractional coordinates):
Ho: 0.000 0.000 0.000
Pu: 0.500 0.500 0.500
Al: 0.250 0.250 0.250
Sn: 0.750 0.750 0.750

As for the space-group type: F-43m (216). The calculation puts the energy relative to the elements at -311 meV per atom. As for the crystal system: cubic. The calculated volume is 100 Å³ per cell. Its total magnetic moment is 5.86 Bohr magnetons per cell. Its density of states at the Fermi level is 9.10 states/eV per cell.